This record from Alexandria via LeMat-Bulk describes a crystal of Zn2CrCl relaxed with PBEsol. The functional is meta-GGA SCAN.

Its uncorrected formation energy is 0.447 eV per atom. For the calculated volume, the calculation gives 18.2 Å³ per atom. The value obtained for the density is 5.0 g/cm³. As for the space group: No. 225.

Lattice parameters (Å, degrees): 4.6876 4.6876 4.6876 60.00 60.00 60.00
With the nearest neighbours (Å) after each atom.
Fractional coordinates of all 4 atoms:
Zn 0.7500 0.7500 0.7500  4 Cl 2.87, 4 Cr 2.87
Zn 0.2500 0.2500 0.2500  4 Cr 2.87, 4 Cl 2.87
Cl 0.0000 0.0000 0.0000  8 Zn 2.87
Cr 0.5000 0.5000 0.5000  8 Zn 2.87

***

This record from Alexandria via LeMat-Bulk describes a crystal of CsTeN2O relaxed with PBEsol. The functional is meta-GGA SCAN.

Its uncorrected formation energy is 2.354 eV per atom. For the calculated volume, the calculation gives 16.7 Å³ per atom. The value obtained for the density is 6.0 g/cm³. As for the space group: No. 123.

Lattice parameters (Å, degrees): 4.1865 4.4687 4.4687 90.00 90.00 90.00
With the nearest neighbours (Å) after each atom.
Fractional coordinates of all 5 atoms:
N 0.0000 0.5000 0.0000  2 Cs 2.23
N 0.0000 0.0000 0.5000  2 Cs 2.23
Cs 0.0000 0.0000 0.0000  2 O 2.09, 4 N 2.23
O 0.5000 0.0000 0.0000  2 Cs 2.09
Te 0.5000 0.5000 0.5000  8 N 3.06, 4 O 3.16

***

This record from Alexandria via LeMat-Bulk describes a crystal of BaLi2Ti2 relaxed with PBEsol. The functional is meta-GGA SCAN.

The value obtained for the energy relative to the elements is 0.553 eV per atom. For the calculated volume, the calculation gives 25.1 Å³ per atom. The value obtained for the density is 3.3 g/cm³. As for the space group: No. 139.

Lattice parameters (Å, degrees): 3.6245 3.6245 9.8979 100.55 100.55 90.00
With the nearest neighbours (Å) after each atom.
Fractional coordinates of all 5 atoms:
Li 0.3709 0.3709 0.7417  4 Ti 2.94
Ba 0.0000 0.0000 0.0000  8 Li 3.56, 4 Ba 3.62
Ti 0.2500 0.7500 0.5000  4 Ti 2.56
Li 0.6291 0.6291 0.2583  4 Ti 2.94
Ti 0.7500 0.2500 0.5000  4 Ti 2.56